Compound: Tl2CrF6
Source: Alexandria
Functional: PBE+U
Structure: optimized geometry

Lattice parameters (Å, degrees): 4.9677 5.9349 5.9349 120.00 90.00 90.00
With the nearest neighbours (Å) after each atom.
Element x y z (fractional)
Tl: 0.5000 0.6667 0.3333  6 F 2.58
Tl: 0.5000 0.3333 0.6667  6 F 2.58
Cr: 0.0000 0.0000 0.0000  6 F 1.95
F: 0.2215 0.0000 0.2719  1 Cr 1.95
F: 0.2215 0.7281 0.7281  1 Cr 1.95
F: 0.7785 0.0000 0.7281  1 Cr 1.95
F: 0.7785 0.7281 0.0000  1 Cr 1.95
F: 0.7785 0.2719 0.2719  1 Cr 1.95
F: 0.2215 0.2719 0.0000  1 Cr 1.95

Properties
The total magnetization comes out at 2.66 μB/f.u. As for the total DFT energy (no corrections): -4.764 eV per atom. The value obtained for the density of states at the Fermi level is 0.307 states/eV/atom.